# 1
Sr3Tl6Pd5: relaxed, PBE.

It has space group Pmmn (No. 59, origin choice 2), with a = 4.568 Å, b = 14.351 Å, c = 10.529 Å, α = 90.00°, β = 90.00° and γ = 90.00°. The inequivalent atoms are Sr at (0.250, 0.053, 0.249), Sr at (0.250, 0.750, 0.277), Tl at (0.250, 0.069, 0.586), Tl at (0.250, 0.250, 0.032), Tl at (0.250, 0.250, 0.403), Tl at (0.250, 0.592, 0.986), Pd at (0.250, 0.096, 0.851), Pd at (0.250, 0.638, 0.555) and Pd at (0.250, 0.750, 0.788).

Its formation energy is -0.417 eV per atom. The value obtained for the density of states at the Fermi level is 0.53 states/eV/atom. The total energy is -3.646 eV/atom.

=====

# 2
ReTc2Pt: relaxed, PBE.

It has space group R3m (No. 160, hexagonal axes), with a = 2.7523 Å, b = 2.7523 Å, c = 27.2296 Å, α = 90.00°, β = 90.00° and γ = 120.00°. The inequivalent atoms are Re at (0.0000, 0.0000, 0.0000), Tc at (0.0000, 0.0000, 0.2512), Tc at (0.0000, 0.0000, 0.5035) and Pt at (0.0000, 0.0000, 0.7517).

For the energy relative to the lowest polymorph listed for this composition, the calculation gives 72 meV/atom. Its formation energy is -0.032 eV per atom. The value obtained for the density of states at the Fermi level is 0.81 states/eV/atom. The total energy is -9.837 eV/atom.

=====

# 3
Nd7In2Co2: relaxed, PBE.

It has space group Cmmm (No. 65), with a = 8.118 Å, b = 11.367 Å, c = 7.169 Å, α = 90.00°, β = 90.00° and γ = 90.00°. The inequivalent atoms are Nd at (0.000, 0.000, 0.000), Nd at (0.000, 0.500, 0.236), Nd at (0.250, 0.250, 0.245), In at (0.173, 0.000, 0.500) and Co at (0.000, 0.294, 0.000).

Its formation energy is -0.141 eV per atom. The value obtained for the density of states at the Fermi level is 0.97 states/eV/atom. The total energy is -4.965 eV/atom.